No. 1
Density functional theory data (GGA-PBE) for a relaxed structure of AlZnIr2.

Calculated values
Total magnetic moment ... 0.182 μB per atom
E ... -5.79 eV per atom

```
AlZnIr2
1.0
0.0000 3.0770 3.0770
3.0770 0.0000 3.0770
3.0770 3.0770 0.0000
Zn Ir Al
1 2 1
Cartesian
1.5385 1.5385 1.5385
4.6156 4.6156 4.6156
0.0000 0.0000 0.0000
3.0770 3.0770 3.0770
```

***

No. 2
Density functional theory data (GGA-PBE) for a relaxed structure of AlZnIr2.

Calculated values
Total magnetic moment ... 0.000 μB per atom
E ... -6.27 eV per atom

```
AlZnIr2
1.0
-2.4511 -0.2696 3.4933
-4.8133 -1.1811 -3.4685
2.5097 -12.5533 0.7919
Zn Ir Al
6 12 6
Cartesian
-4.0203 -5.0447 2.0219
-2.4067 -0.5905 -1.7342
-0.8065 -2.2268 1.8775
0.8651 -10.5961 2.4077
-0.7344 -8.9594 -1.2052
0.0293 -6.4115 2.1426
-4.8357 -1.0207 -0.8548
-3.9984 -5.2051 -0.5918
-1.5915 -4.6145 1.1426
0.8873 -10.7565 -0.2063
-3.1632 -9.3896 -0.3259
-2.4287 -0.4301 0.8796
-2.3550 -7.1624 -2.2053
-5.6420 -3.2475 1.0230
-3.2356 -2.6570 2.7571
-1.5191 -11.3470 -1.9404
0.0513 -6.5720 -0.4713
-0.7563 -8.7989 1.4085
-1.6137 -4.4541 3.7562
-3.2132 -2.8174 0.1433
0.0000 0.0000 0.0000
1.6723 -8.3689 0.5290
-1.5415 -11.1866 0.6734
-2.3774 -7.0020 0.4084
```

***

No. 3
Density functional theory data (GGA-PBE) for a relaxed structure of Al4ZnIr5.

Calculated values
Total magnetic moment ... 0.001 μB per atom
E ... -6.88 eV per atom

```
Al4ZnIr5
1.0
3.0162 0.0000 0.0000
0.0000 3.0162 0.0000
0.0000 0.0000 15.1140
Ir Al Zn
5 4 1
Cartesian
1.5081 1.5081 13.5430
1.5081 1.5081 1.5710
1.5081 1.5081 7.5570
1.5081 1.5081 4.5564
1.5081 1.5081 10.5576
0.0000 0.0000 9.0799
0.0000 0.0000 2.9825
0.0000 0.0000 12.1316
0.0000 0.0000 6.0342
0.0000 0.0000 0.0000
```

***

No. 4
Density functional theory data (GGA-PBE) for a relaxed structure of AlZnIr2.

Calculated values
Total magnetic moment ... 0.001 μB per atom
E ... -5.66 eV per atom

```
AlZnIr2
1.0
2.1022 -3.6412 0.0000
2.1022 3.6412 0.0000
0.0000 0.0000 7.8637
Zn Ir Al
2 4 2
Cartesian
2.1022 1.2137 5.8978
2.1022 -1.2137 1.9659
2.1022 -1.2137 4.6043
2.1022 1.2137 3.2594
2.1022 1.2137 0.6724
2.1022 -1.2137 7.1913
0.0000 0.0000 5.8978
0.0000 0.0000 1.9659
```

***

No. 5
Density functional theory data (GGA-PBE) for a relaxed structure of AlZnIr2.

Calculated values
Total magnetic moment ... 0.009 μB per atom
E ... -5.96 eV per atom

```
AlZnIr2
1.0
-1.7229 -1.2444 -3.6859
-1.2480 -1.8010 3.6471
-5.6359 5.4880 0.7816
Ir Al Zn
4 2 2
Cartesian
-3.8875 0.8320 -0.9194
-6.5471 3.3904 1.9157
-2.0597 -0.9478 -1.1729
-4.7194 1.6106 1.6622
0.0000 0.0000 0.0000
-2.8180 2.7440 0.3908
-5.7915 2.6861 -0.6554
-2.8153 -0.2435 1.3982
```

***

No. 6
Density functional theory data (GGA-PBE) for a relaxed structure of AlZn2Ir.

Calculated values
Total magnetic moment ... 0.000 μB per atom
E ... -4.06 eV per atom

```
AlZn2Ir
1.0
0.0000 3.0500 3.0500
3.0500 0.0000 3.0500
3.0500 3.0500 0.0000
Al Ir Zn
1 1 2
Cartesian
3.0500 3.0500 3.0500
1.5250 1.5250 1.5250
4.5750 4.5750 4.5750
0.0000 0.0000 0.0000
```

***

No. 7
Density functional theory data (GGA-PBE) for a relaxed structure of AlZnIr2.

Calculated values
Total magnetic moment ... 0.057 μB per atom
E ... -5.90 eV per atom

```
AlZnIr2
1.0
-0.0384 4.0271 -1.5377
-0.8311 -3.3173 -2.6245
-7.5436 0.5668 1.6725
Ir Zn Al
4 2 2
Cartesian
-3.4479 1.8153 -1.2026
-4.9652 -0.5387 -1.2871
-7.4839 -0.3495 -0.7286
-0.9291 1.6260 -1.7610
-3.7718 0.2834 0.8362
0.0000 0.0000 0.0000
-2.4528 -0.7275 -1.8441
-5.9603 2.0040 -0.6456
```

***

No. 8
Density functional theory data (GGA-PBE) for a relaxed structure of Zr2Al2Ir.

Calculated values
Total magnetic moment ... 0.001 μB per atom
E ... -6.37 eV per atom

```
Zr2Al2Ir
1.0
-1.9358 1.9358 6.4594
1.9358 -1.9358 6.4594
1.9358 1.9358 -6.4594
Zr Al Ir
2 2 1
Cartesian
0.0000 1.9358 3.2297
1.9358 0.0000 3.2297
0.0000 0.0000 5.2975
0.0000 0.0000 7.6212
0.0000 0.0000 0.0000
```